Record 1
Here is crystalline NiAsCl2 at its relaxed geometry from the Alexandria database. Energies are from PBE.

Unit cell a=4.4521 b=4.8235 c=4.4568 alpha=66.12 beta=82.89 gamma=113.85
Closest atoms and distances in Å follow each position.
Atoms (fractional coordinates):
Ni  0.0000  0.5000  0.5000  4 Cl 2.54
Cl  0.0000  0.0000  0.0000  2 Ni 2.54, 2 As 2.54
Cl  0.5000  0.0000  0.5000  2 As 2.54, 2 Ni 2.54
As  0.5000  0.5000  0.0000  4 Cl 2.54

Calculated values
E_tot: -13.2 eV per cell
magnetization: 0.412 μB per cell
energy above the lowest structure with this stoichiometry: 696 meV per atom
energy relative to the elements, uncorrected: 239 meV/atom

***

Record 2
Here is crystalline HoMgScTi at its relaxed geometry from the Alexandria database. Energies are from PBE.

Unit cell a=5.1113 b=5.1113 c=5.1113 alpha=60.00 beta=60.00 gamma=60.00
Closest atoms and distances in Å follow each position.
Atoms (fractional coordinates):
Ho  0.0000  0.0000  0.0000  4 Mg 3.13, 4 Ti 3.13
Mg  0.7500  0.7500  0.7500  4 Sc 3.13, 4 Ho 3.13
Sc  0.5000  0.5000  0.5000  4 Ti 3.13, 4 Mg 3.13
Ti  0.2500  0.2500  0.2500  4 Ho 3.13, 4 Sc 3.13

Calculated values
formation energy from the elements: 148 meV per atom
E_tot: -19.8 eV per cell
magnetization: 2.304 μB per cell

***

Record 3
Here is crystalline FeCu2Ag at its relaxed geometry from the Alexandria database. Energies are from PBE.

Unit cell a=4.2553 b=4.2553 c=4.2553 alpha=60.00 beta=60.00 gamma=60.00
Closest atoms and distances in Å follow each position.
Atoms (fractional coordinates):
Fe  0.0000  0.0000  0.0000  8 Cu 2.61
Cu  0.2500  0.2500  0.2500  4 Fe 2.61, 4 Ag 2.61
Cu  0.7500  0.7500  0.7500  4 Ag 2.61, 4 Fe 2.61
Ag  0.5000  0.5000  0.5000  8 Cu 2.61

Calculated values
formation energy from the elements: 284 meV per atom
E_tot: -18.4 eV per cell
magnetization: 2.868 μB per cell
energy above the lowest structure with this stoichiometry: 115 meV per atom

***

Number 1: V 18.8 Å³ per atom. Number 2: V 23.6 Å³ per atom. Number 3: V 13.6 Å³ per atom.